[1]
! NaZr2AsO8 (PBE, relaxed); values from VASP
&SYSTEM
  ibrav = 0, nat = 12, ntyp = 4
/
ATOMIC_SPECIES
O 16.00 O.upf
Zr 91.22 Zr.upf
As 74.92 As.upf
Na 22.99 Na.upf
ATOMIC_POSITIONS angstrom
O 1.4676 1.2200 0.0006
O 0.8396 3.5519 1.3457
Zr 2.4213 2.2481 1.6373
O 4.0025 0.9464 5.5825
O 2.1884 1.1480 3.4649
O 3.9963 0.9363 1.3456
As 0.0000 0.0000 0.0000
O 2.6537 3.3503 3.4632
Zr 2.4208 2.2502 5.2908
O 3.3746 3.2783 6.9276
Na 0.0024 0.0045 3.4670
O 0.8459 3.5621 5.5826
CELL_PARAMETERS angstrom
4.8009 0.0011 -0.0025
0.0363 4.4881 -0.0033
0.0049 0.0091 6.9340
! * volume: 149.4 Å³ per cell
! * M_tot: 0.779 μB/f.u.
! * final energy: -7.204 eV per atom
! * formation energy from raw total energies: -1.976 eV per atom

[2]
! Ba2BeHO (PBE, relaxed); values from VASP
&SYSTEM
  ibrav = 0, nat = 5, ntyp = 4
/
ATOMIC_SPECIES
O 16.00 O.upf
Ba 137.33 Ba.upf
H 1.01 H.upf
Be 9.01 Be.upf
ATOMIC_POSITIONS angstrom
O 0.0000 1.6872 0.0000
Ba 0.0000 0.0000 2.7624
H 0.0000 0.0000 0.0000
Be 2.7624 1.6872 2.7624
Ba 2.7624 0.0000 0.0000
CELL_PARAMETERS angstrom
5.5247 0.0000 0.0000
0.0000 3.3743 0.0000
0.0000 0.0000 5.5247
! * volume: 103.0 Å³ per cell
! * M_tot: 0.000 μB/f.u.
! * final energy: -3.237 eV per atom

[3]
! KAgAuBr6 (PBE, relaxed); values from VASP
&SYSTEM
  ibrav = 0, nat = 9, ntyp = 4
/
ATOMIC_SPECIES
Br 79.90 Br.upf
K 39.10 K.upf
Ag 107.87 Ag.upf
Au 196.97 Au.upf
ATOMIC_POSITIONS angstrom
Br 13.2780 4.9967 5.8813
Br 1.9676 1.3585 2.1684
Br 11.1940 6.0565 2.5570
K 10.1343 0.5402 7.9710
Ag 10.2155 4.4463 4.5047
Br 6.2749 3.2786 1.8607
Br 8.7605 3.2071 6.2293
Br 4.3986 0.5657 5.6489
Au 5.2221 1.9806 3.6994
CELL_PARAMETERS angstrom
8.9764 0.9886 1.1300
5.2026 6.1989 -0.0744
1.1510 -0.6617 7.0339
! * volume: 342.7 Å³ per cell
! * M_tot: 0.002 μB/f.u.
! * final energy: -2.427 eV per atom
! * formation energy from raw total energies: -0.509 eV per atom

[4]
! Ba2CdOs (PBE, relaxed); values from VASP
&SYSTEM
  ibrav = 0, nat = 4, ntyp = 3
/
ATOMIC_SPECIES
Cd 112.41 Cd.upf
Os 190.23 Os.upf
Ba 137.33 Ba.upf
ATOMIC_POSITIONS angstrom
Cd -3.2083 -1.6468 -3.0502
Os -3.1673 -1.2467 0.3476
Ba 0.0000 0.0000 0.0000
Ba -0.6779 -3.1049 -1.2677
CELL_PARAMETERS angstrom
-5.6977 0.2113 -1.4350
-0.7189 -3.5050 -4.6654
2.5716 -1.0579 5.1803
! * volume: 115.8 Å³ per cell
! * M_tot: 0.000 μB/f.u.
! * E_form: 0.645 eV/atom
! * final energy: -3.352 eV per atom